NdTmTe | PBE-GGA | relaxed

Results
Polymorph energy (0 for the lowest one)   277 meV/atom
DOS at the Fermi energy   4.5 states/eV/f.u.
ΔE_f (raw)   -47.48 kJ per mole of atoms

Unit cell a=5.1912 b=5.1912 c=4.0153 alpha=90.00 beta=90.00 gamma=120.00
Space group P3m1 (No. 156)
Asymmetric unit:
Nd 0.0000 0.0000 0.0000
Tm 0.3333 0.6667 0.4948
Te 0.6667 0.3333 0.3561